No. 1
This record from Alexandria via LeMat-Bulk describes Pb3O after structural relaxation. The functional is GGA-PBE. Values from VASP.

Cell and atoms, written as Quantum ESPRESSO input:
```
&SYSTEM
  ibrav = 0, nat = 4, ntyp = 2
/
ATOMIC_SPECIES
Pb 207.20 Pb.upf
O 16.00 O.upf
CELL_PARAMETERS angstrom
4.6449 0.0000 0.0000
0.0000 4.6449 0.0000
0.0000 0.0000 4.6449
ATOMIC_POSITIONS crystal
Pb 0.0000 0.0000 0.5000
Pb 0.0000 0.5000 0.0000
Pb 0.5000 0.0000 0.0000
O 0.5000 0.5000 0.5000
```

Properties
excess energy over the best structure of this formula in the dataset	435.3	meV/atom
space-group type	No. 221



No. 2
This record from Alexandria via LeMat-Bulk describes AcFeGe2Os after structural relaxation. The functional is GGA-PBE. Values from VASP.

Cell and atoms, written as Quantum ESPRESSO input:
```
&SYSTEM
  ibrav = 0, nat = 5, ntyp = 4
/
ATOMIC_SPECIES
Ac 227.00 Ac.upf
Fe 55.84 Fe.upf
Ge 72.64 Ge.upf
Os 190.23 Os.upf
CELL_PARAMETERS angstrom
-2.1402 2.1402 5.2721
2.1402 -2.1402 5.2721
2.1402 2.1402 -5.2721
ATOMIC_POSITIONS crystal
Ac 0.0000 0.0000 0.0000
Fe 0.7500 0.2500 0.5000
Ge 0.3599 0.3599 0.0000
Ge 0.6401 0.6401 0.0000
Os 0.2500 0.7500 0.5000
```

Properties
formation energy	-362	meV per atom
space-group type	No. 119



no.,total moment (μB/atom)
1,0.000
2,0.027